RbTe3Mo | GGA-PBE | relaxed

Structure (extended XYZ):
```
5
Lattice="5.4647 0.0000 0.0000 0.0000 5.4647 0.0000 0.0000 0.0000 5.4647" Properties=species:S:1:pos:R:3 pbc="T T T"
Mo 0.0000 0.0000 0.0000
Rb 2.7323 2.7323 2.7323
Te 2.7323 0.0000 0.0000
Te 0.0000 2.7323 0.0000
Te 0.0000 0.0000 2.7323
```

Output
Energy above the most stable polymorph in this dataset ... 0.00 eV/f.u.
Uncorrected formation energy ... -77 meV per atom

Pa3Zn9Au2 | GGA-PBE | relaxed

Structure (extended XYZ):
```
14
Lattice="4.2716 0.0000 1.0900 1.5578 7.5353 2.8103 0.1898 0.5487 8.1712" Properties=species:S:1:pos:R:3 pbc="T T T"
Zn 1.5467 0.3319 2.8538
Pa 2.4869 5.7162 8.0843
Zn 4.0983 5.8408 10.6844
Zn 0.9348 1.3426 5.2518
Pa 3.5324 2.3678 3.9872
Zn 4.4726 7.7521 9.2178
Au 3.2596 5.3185 5.0563
Zn 0.8738 4.0420 5.4908
Zn 5.0845 6.7414 6.8198
Zn 1.9209 2.2432 1.3872
Au 2.7597 2.7655 7.0152
Pa 0.0000 0.0000 0.0000
Zn 4.4818 3.6634 9.1815
Zn 1.5374 4.4206 2.8900
```

ZnGa5Rh | GGA-PBE | relaxed

Structure (extended XYZ):
```
7
Lattice="-6.7816 0.2933 1.2707 -0.3806 -5.3724 -0.7912 4.1925 1.9973 3.1481" Properties=species:S:1:pos:R:3 pbc="T T T"
Ga -6.6548 -2.4066 0.8157
Rh -6.7714 0.2929 1.2688
Ga -4.3466 -0.0032 2.1127
Ga -0.9879 -2.9763 1.9581
Ga -2.2161 -1.1541 0.2152
Zn -4.2778 -2.5094 0.3703
Ga -2.4201 -4.0343 -0.2089
```

Number 1: total energy -21.6 eV/cell. Number 2: total energy -48.9 eV/cell. Number 3: total energy -23.4 eV/cell.